The following is a PBE calculation of SmTh2Pd after structural relaxation, from the Alexandria database.

Values from the calculation:
The energy above the most stable polymorph in this dataset comes out at 165 meV per atom. The formation energy is -0.212 eV/atom. As for the density of states at the Fermi level: 5.2 states/eV per cell. The crystal system is trigonal.

abc: 10.087 10.087 10.087
angles: 21.35 21.35 21.35
Sites, in units of the cell vectors:
Sm 0.000 0.000 0.000
Th 0.236 0.236 0.236
Th 0.764 0.764 0.764
Pd 0.500 0.500 0.500

The following is a PBE calculation of BHBr2Cl after structural relaxation, from the Alexandria database.

Values from the calculation:
As for the total energy: -2.255 eV per atom. As for the density of states at the Fermi level: 3.5 states/eV per cell. The crystal system is tetragonal.

abc: 5.069 5.069 3.181
angles: 90.00 90.00 90.00
Sites, in units of the cell vectors:
B 0.000 0.000 0.000
H 0.000 0.000 0.500
Br 0.000 0.500 0.000
Br 0.500 0.000 0.000
Cl 0.500 0.500 0.500

The following is a PBE calculation of HgPtS2 after structural relaxation, from the Alexandria database.

Values from the calculation:
For the energy relative to the elements, uncorrected, the calculation gives -0.2568 eV per atom. As for the density of states at the Fermi level: 0.0 states/eV per cell. The crystal system is monoclinic.

abc: 4.844 4.844 6.389
angles: 107.28 107.28 42.81
Sites, in units of the cell vectors:
Hg 0.000 0.000 0.000
Pt 0.500 0.500 0.500
S 0.132 0.132 0.724
S 0.868 0.868 0.276